5
Lattice="-3.0724 -2.8208 -3.0871 0.4408 -4.0279 3.2416 -5.1667 -1.8898 2.5077" Properties=species:S:1:pos:R:3 comment="CdSn2Ge2 GGA-PBE optimized geometry" e_form_ev_per_atom=0.18 relative_energy_ev_per_atom=0.012 sg=I4/mmm dos_ef_per_ev_cell=2.46 dft_energy_ev_per_cell=-17.2 pbc="T T T"
Ge -5.4801 -5.7136 1.9523
Ge -2.3181 -3.0249 0.7099
Cd 0.0000 0.0000 0.0000
Sn -3.0208 -4.6710 2.9133
Sn -4.7774 -4.0675 -0.2511

***

3
Lattice="6.2256 0.0000 0.0000 0.0000 3.4852 0.0000 0.0000 -1.7426 3.0183" Properties=species:S:1:pos:R:3 comment="NdLuN GGA-PBE optimized geometry" sg=P3m1 raw_formation_energy_ev_per_atom=-0.977 dos_ef_per_ev_cell=2.81 dft_energy_ev_per_cell=-20.5 pbc="T T T"
Lu 0.7986 0.0000 0.0000
Nd 3.5395 1.7426 1.0061
N 1.8875 0.0000 2.0122

***

4
Lattice="-2.5066 2.2589 -3.8053 -0.4809 -2.3570 -4.4810 -4.5349 -1.7757 -1.4655" Properties=species:S:1:pos:R:3 comment="PuThRhAu GGA-PBE optimized geometry" e_form_ev_per_atom=-0.50 sg=F-43m dos_ef_per_ev_cell=11.44 dft_energy_ev_per_cell=-34.4 pbc="T T T"
Pu -5.6419 -1.4053 -7.3139
Au 0.0000 0.0000 0.0000
Th -1.8806 -0.4684 -2.4380
Rh -3.7612 -0.9369 -4.8759

***

7
Lattice="-1.4093 4.1903 -0.3312 -4.1720 -1.3519 0.6490 3.7141 -0.4856 7.7224" Properties=species:S:1:pos:R:3 comment="TmPu2Bi2N2 GGA-PBE optimized geometry" sg=I4/mmm raw_formation_energy_ev_per_atom=-0.728 dos_ef_per_ev_cell=16.59 dft_energy_ev_per_cell=-62.6 pbc="T T T"
Bi 0.3888 0.3931 3.3182
N -0.7047 2.0951 -0.1656
N -2.0860 -0.6759 0.3245
Bi -2.2560 1.9597 4.7219
Pu -2.6261 1.5855 1.5629
Pu 0.7590 0.7673 6.4773
Tm 0.0000 0.0000 0.0000

***

20
Lattice="6.3340 0.0000 0.0000 0.0000 6.4872 0.0000 0.0000 0.0000 18.2910" Properties=species:S:1:pos:R:3 comment="KSrTe3 GGA-PBE optimized geometry" relative_energy_ev_per_atom=0.000 sg=Pnna raw_formation_energy_ev_per_atom=-0.986 dos_ef_per_ev_cell=9.99 dft_energy_ev_per_cell=-68.5 pbc="T T T"
Te 4.7505 1.6218 16.6541
Te 3.6589 5.9994 6.7928
Te 1.5835 1.6218 7.5086
Sr 4.7505 1.6218 9.1422
Te 0.4919 2.7558 11.4982
Sr 1.5835 4.8654 9.1488
Te 0.4919 3.7313 15.9383
K 2.9987 3.2436 4.5728
K 0.1683 0.0000 4.5728
Sr 4.7505 4.8654 0.0033
K 3.3353 3.2436 13.7183
K 6.1657 0.0000 13.7183
Te 3.6589 0.4877 2.3527
Te 2.6751 0.4877 11.4982
Te 2.6751 5.9994 15.9383
Te 5.8421 3.7313 6.7928
Sr 1.5835 1.6218 18.2878
Te 4.7505 4.8654 10.7825
Te 1.5835 4.8654 1.6370
Te 5.8421 2.7558 2.3527

***

4
Lattice="-4.8521 2.2845 -1.1365 -4.2500 -3.3156 -0.9991 3.9078 0.5137 3.8104" Properties=species:S:1:pos:R:3 comment="ReSbAu2 GGA-PBE optimized geometry" sg=I4/mmm raw_formation_energy_ev_per_atom=0.668 dos_ef_per_ev_cell=3.47 dft_energy_ev_per_cell=-20.5 pbc="T T T"
Au 0.0000 0.0000 0.0000
Au -4.5511 -0.5156 -1.0678
Sb -2.7477 1.1413 0.8031
Re -2.4466 -1.6588 0.8718

***

4
Lattice="2.8167 0.0000 0.0000 0.0000 4.4778 0.0000 0.0000 0.0000 4.8120" Properties=species:S:1:pos:R:3 comment="TaOs3 GGA-PBE optimized geometry" e_form_ev_per_atom=-0.06 sg=Pmm2 dos_ef_per_ev_cell=3.99 dft_energy_ev_per_cell=-45.8 pbc="T T T"
Os 1.4084 0.0000 2.4125
Ta 0.0000 2.2389 1.6272
Os 1.4084 2.2389 4.0431
Os 0.0000 0.0000 4.7492

***

7
Lattice="5.2638 0.0000 0.0000 0.0000 5.2638 0.0000 -2.6319 -2.6319 7.8772" Properties=species:S:1:pos:R:3 comment="Ac2NdSe2S2 GGA-PBE optimized geometry" sg=I4/mmm raw_formation_energy_ev_per_atom=-1.729 dos_ef_per_ev_cell=2.63 dft_energy_ev_per_cell=-40.3 pbc="T T T"
Se 0.0000 0.0000 2.9077
Nd 0.0000 0.0000 0.0000
S 0.0000 2.6319 0.0000
Se 2.6319 2.6319 4.9695
Ac 0.0000 0.0000 5.8839
S 2.6319 0.0000 0.0000
Ac 2.6319 2.6319 1.9933